No. 1
NbRuN2F after structural relaxation, computed with PBE.

Summary:
Its energy relative to the elements, uncorrected is 0.533 eV per atom. The calculation puts the energy above the most stable polymorph in this dataset at 0.309 eV/atom.

Cell: 3.9074 3.9074 3.8941 Å, 90.00 90.00 90.00°
Closest atoms and distances in Å follow each position.
Atoms (fractional coordinates):
Nb1 0.0000 0.0000 0.0000  8 N 2.76, 4 F 2.76
Ru1 0.5000 0.5000 0.5000  2 F 1.95, 4 N 1.95
N1 0.0000 0.5000 0.5000  2 Ru 1.95
N2 0.5000 0.0000 0.5000  2 Ru 1.95
F1 0.5000 0.5000 0.0000  2 Ru 1.95

No. 2
ScAl2Cu2 after structural relaxation, computed with PBE.

Summary:
The energy of formation is -0.23 eV per atom. The calculation puts the energy above the most stable polymorph in this dataset at 0.098 eV/atom.

Cell: 7.4956 7.4956 2.6937 Å, 90.00 90.00 90.00°
Closest atoms and distances in Å follow each position.
Atoms (fractional coordinates):
Sc1 0.0000 0.0000 0.0000  2 Sc 2.69, 4 Al 2.93
Sc2 0.5000 0.5000 0.0000  2 Sc 2.69, 4 Al 2.93
Al1 0.1319 0.3681 0.0000  6 Cu 2.54-2.61, 3 Al 2.69-2.80
Al2 0.3681 0.8681 0.0000  6 Cu 2.54-2.61, 3 Al 2.69-2.80
Al3 0.6319 0.1319 0.0000  6 Cu 2.54-2.61, 3 Al 2.69-2.80
Al4 0.8681 0.6319 0.0000  6 Cu 2.54-2.61, 3 Al 2.69-2.80
Cu1 0.1652 0.6652 0.5000  6 Al 2.54-2.61, 2 Cu 2.69
Cu2 0.3348 0.1652 0.5000  6 Al 2.54-2.61, 2 Cu 2.69
Cu3 0.6652 0.8348 0.5000  6 Al 2.54-2.61, 2 Cu 2.69
Cu4 0.8348 0.3348 0.5000  6 Al 2.54-2.61, 2 Cu 2.69

No. 3
K3Tb2HoO6 after structural relaxation, computed with PBE.

Summary:
Its energy relative to the elements, uncorrected is -2.760 eV per atom.

Cell: 6.0484 6.0484 6.5819 Å, 98.81 98.81 120.00°
Closest atoms and distances in Å follow each position.
Atoms (fractional coordinates):
K1 0.0000 0.0000 0.0000  6 O 2.81-2.83
K2 0.3337 0.6663 0.0000  6 O 2.81-2.83
K3 0.6663 0.3337 0.0000  6 O 2.81-2.83
Tb1 0.1667 0.8333 0.5000  6 O 2.33
Tb2 0.8333 0.1667 0.5000  6 O 2.33
Ho1 0.5000 0.5000 0.5000  6 O 2.31
O1 0.1075 0.4381 0.3144  1 Ho 2.31, 2 Tb 2.33
O2 0.2313 0.2313 0.6855  1 Ho 2.31, 2 Tb 2.33
O3 0.4381 0.1075 0.3144  1 Ho 2.31, 2 Tb 2.33
O4 0.5619 0.8925 0.6856  1 Ho 2.31, 2 Tb 2.33
O5 0.7687 0.7687 0.3145  1 Ho 2.31, 2 Tb 2.33
O6 0.8925 0.5619 0.6856  1 Ho 2.31, 2 Tb 2.33

Number 1: size of the total moment 0.000 Bohr magnetons per cell. Number 2: size of the total moment 0.655 Bohr magnetons per cell. Number 3: size of the total moment 0.000 Bohr magnetons per cell.